6
Lattice="-5.9687 -1.6374 5.8122 -0.2905 -4.4280 -1.5458 6.2549 -2.4029 5.7075" Properties=species:S:1:pos:R:3 comment="PBE CsBaBr, optimized geometry" e_above_lowest_polymorph_ev_per_atom=0.046 total_magnetization_mub_per_cell=0.40 formation_energy_uncorrected_ev_per_atom=-1.002 pbc="T T T"
Br 4.1494 -5.0482 2.9674
Cs -1.2401 -3.9404 0.8071
Ba -1.7960 -5.5641 5.5629
Ba 1.7917 -2.9041 4.4110
Cs 1.2358 -4.5278 9.1668
Br -4.1536 -3.4200 7.0065

10
Lattice="-6.7311 -5.4251 -4.1219 1.9462 -7.0837 6.1452 -3.0765 1.6402 2.8650" Properties=species:S:1:pos:R:3 comment="PBE CsBa2Br2, optimized geometry" e_above_lowest_polymorph_ev_per_atom=0.166 total_magnetization_mub_per_cell=0.00 formation_energy_uncorrected_ev_per_atom=-1.007 pbc="T T T"
Ba -6.5115 -6.0954 0.0514
Ba -4.3807 -8.7041 3.8330
Br -4.6021 -9.1879 0.3184
Cs -2.3925 -6.2544 1.0116
Ba -3.4807 -2.1644 1.0554
Ba -1.3499 -4.7732 4.8369
Br -4.0030 -4.3789 -1.7914
Br -0.7820 -8.1299 3.8147
Br -0.1829 -3.3209 1.7049
Cs 0.0000 0.0000 0.0000

6
Lattice="-3.1315 -2.6677 -2.5612 2.0517 -4.0455 1.7051 -9.9111 0.0564 12.0593" Properties=species:S:1:pos:R:3 comment="PBE CsBaBr, optimized geometry" e_above_lowest_polymorph_ev_per_atom=0.000 total_magnetization_mub_per_cell=1.48 formation_energy_uncorrected_ev_per_atom=-1.048 pbc="T T T"
Br -7.3038 -3.3181 7.8019
Ba -5.0836 -3.3307 5.1005
Ba -6.4200 0.0366 7.8115
Cs -2.1485 0.0122 2.6141
Br -8.5306 0.0486 10.3796
Cs -9.6726 -3.3046 10.6841

4
Lattice="0.0000 4.8211 4.8211 4.8211 0.0000 4.8211 4.8211 4.8211 0.0000" Properties=species:S:1:pos:R:3 comment="PBE CsBa2Br, optimized geometry" total_magnetization_mub_per_cell=1.89 formation_energy_uncorrected_ev_per_atom=-0.193 pbc="T T T"
Ba 2.4105 2.4105 2.4105
Ba 7.2316 7.2316 7.2316
Br 0.0000 0.0000 0.0000
Cs 4.8211 4.8211 4.8211